No. 1
DFT (PBE) results for a relaxed Tm3RhPb crystal.

Computed properties:
**Space-group type**: Pmmn (59)
**Energy of formation from the pure elements**: -0.589 eV per atom

Geometry as POSCAR:
```
Tm3RhPb
1.0
4.571 0.000 0.000
0.000 6.725 0.000
0.000 0.000 8.657
Tm Rh Pb
6 2 2
Cartesian
1.143 0.009 1.343
1.143 3.353 1.343
1.143 5.044 5.058
3.428 1.681 3.599
3.428 3.372 7.314
3.428 6.716 7.314
1.143 5.044 7.789
3.428 1.681 0.868
1.143 1.681 5.637
3.428 5.044 3.020
```

=====

No. 2
DFT (PBE) results for a relaxed TmRhPb crystal.

Computed properties:
**Space-group type**: P-6m2 (187)
**Energy of formation from the pure elements**: -0.497 eV per atom

Geometry as POSCAR:
```
TmRhPb
1.0
4.739 0.000 0.000
-2.369 4.104 0.000
0.000 0.000 3.362
Tm Rh Pb
1 1 1
Cartesian
0.000 0.000 0.000
0.000 2.736 1.681
2.369 1.368 1.681
```

=====

No. 3
DFT (PBE) results for a relaxed Tm4RhPb2 crystal.

Computed properties:
**Space-group type**: C2/m (12)
**Energy of formation from the pure elements**: -0.538 eV per atom

Geometry as POSCAR:
```
Tm4RhPb2
1.0
5.676 -2.282 0.000
5.676 2.282 0.000
-4.573 0.000 7.287
Tm Rh Pb
4 1 2
Cartesian
-0.872 0.000 2.538
-0.508 0.000 6.861
7.288 0.000 0.426
7.652 0.000 4.749
0.000 0.000 0.000
2.349 0.000 2.427
4.431 0.000 4.860
```

=====

No. 4
DFT (PBE) results for a relaxed Tm2Rh4Pb3 crystal.

Computed properties:
**Space-group type**: Cmce (64)
**Energy of formation from the pure elements**: -0.420 eV per atom

Geometry as POSCAR:
```
Tm2Rh4Pb3
1.0
3.037 -8.798 0.000
3.037 8.798 0.000
0.000 0.000 7.042
Tm Rh Pb
4 8 6
Cartesian
3.037 7.106 6.423
3.037 1.692 2.901
3.037 -1.692 4.141
3.037 -7.106 0.620
3.037 6.047 3.858
1.519 1.367 5.282
1.519 -1.367 1.761
3.037 2.751 0.337
3.037 -2.751 6.705
4.556 1.367 5.282
4.556 -1.367 1.761
3.037 -6.047 3.184
0.000 0.000 3.521
1.519 4.141 5.282
1.519 -4.141 1.761
3.037 0.000 0.000
4.556 4.141 5.282
4.556 -4.141 1.761
```

=====

No. 5
DFT (PBE) results for a relaxed Tm2RhPb crystal.

Computed properties:
**Space-group type**: Fm-3m (225)
**Energy of formation from the pure elements**: -0.533 eV per atom

Geometry as POSCAR:
```
Tm2RhPb
1.0
0.000 3.592 3.592
3.592 0.000 3.592
3.592 3.592 0.000
Tm Rh Pb
2 1 1
Cartesian
1.796 1.796 1.796
5.389 5.389 5.389
0.000 0.000 0.000
3.592 3.592 3.592
```

=====

No. 6
DFT (PBE) results for a relaxed Tm6RhPb2 crystal.

Computed properties:
**Space-group type**: Immm (71)
**Energy of formation from the pure elements**: -0.331 eV per atom

Geometry as POSCAR:
```
Tm6RhPb2
1.0
-2.559 3.545 7.433
2.559 -3.545 7.433
2.559 3.545 -7.433
Tm Rh Pb
6 1 2
Cartesian
2.559 1.700 -2.198
0.000 1.606 0.000
2.559 1.700 2.198
0.000 1.844 5.235
0.000 5.483 0.000
0.000 1.844 9.630
2.559 0.000 0.000
2.559 0.000 4.838
0.000 3.545 2.595
```

=====

No. 7
DFT (PBE) results for a relaxed Tm11Rh4Pb9 crystal.

Computed properties:
**Space-group type**: Cmmm (65)
**Energy of formation from the pure elements**: -0.589 eV per atom

Geometry as POSCAR:
```
Tm11Rh4Pb9
1.0
7.360 -10.956 0.000
7.360 10.956 0.000
0.000 0.000 3.696
Tm Rh Pb
11 4 9
Cartesian
0.000 0.000 0.000
3.704 3.654 0.000
7.360 7.438 0.000
4.589 0.000 0.000
7.360 2.794 0.000
3.704 -3.654 0.000
11.017 3.654 0.000
7.360 -2.794 0.000
10.132 0.000 0.000
7.360 -7.438 0.000
11.017 -3.654 0.000
5.138 2.222 1.848
5.138 -2.222 1.848
9.583 2.222 1.848
9.583 -2.222 1.848
2.100 1.633 1.848
5.709 5.292 1.848
2.100 -1.633 1.848
9.012 5.292 1.848
7.360 0.000 1.848
5.709 -5.292 1.848
12.621 1.633 1.848
9.012 -5.292 1.848
12.621 -1.633 1.848
```

=====

No. 8
DFT (PBE) results for a relaxed TmRhPb crystal.

Computed properties:
**Space-group type**: I4mm (107)
**Energy of formation from the pure elements**: -0.474 eV per atom

Geometry as POSCAR:
```
TmRhPb
1.0
-1.688 1.688 5.824
1.688 -1.688 5.824
1.688 1.688 -5.824
Tm Rh Pb
1 1 1
Cartesian
0.000 0.000 0.000
0.000 0.000 4.237
0.000 0.000 8.276
```

=====

no.,final energy (Ry per atom),N(E_F) (states/eV per cell),ρ (g/cm³)
1,-0.403,6.2,10.2
2,-0.417,1.3,12.2
3,-0.382,5.1,10.5
4,-0.435,10.1,12.1
5,-0.407,3.0,11.6
6,-0.364,6.0,9.4
7,-0.386,13.6,11.5
8,-0.415,1.4,12.0